No. 1
{"formula": "Nd3Sm6ErTh2", "functional": "PBE", "state": "relaxed", "cell": [[6.265, 0.003, 0.001], [-3.129, 5.428, 0.001], [-1.048, -1.814, 11.856]], "species": ["Sm", "Sm", "Sm", "Sm", "Sm", "Sm", "Nd", "Nd", "Nd", "Er", "Th", "Th"], "frac_coords": [[0.582, 0.919, 0.756], [0.745, 0.745, 0.245], [0.919, 0.582, 0.756], [0.418, 0.081, 0.244], [0.081, 0.418, 0.244], [0.255, 0.255, 0.755], [0.167, 0.833, 0.500], [0.500, 0.500, 0.500], [0.833, 0.167, 0.500], [0.000, 0.000, 0.000], [0.333, 0.667, 0.000], [0.667, 0.333, 0.000]], "ef_ev_per_fu": 0.33, "n_ef_per_ev_atom": 1.458}

***

No. 2
{"formula": "ZrCo2H", "functional": "PBE", "state": "relaxed", "cell": [[0.000, 2.898, 2.898], [2.898, 0.000, 2.898], [2.898, 2.898, 0.000]], "species": ["Co", "Co", "Zr", "H"], "frac_coords": [[0.250, 0.250, 0.250], [0.750, 0.750, 0.750], [0.500, 0.500, 0.500], [0.000, 0.000, 0.000]], "e_above_lowest_polymorph_kj_per_mol_fu": 256.9, "n_ef_per_ev_atom": 0.923}

***

No. 3
{"formula": "Na2NpSe3", "functional": "PBE", "state": "relaxed", "cell": [[4.266, 0.000, 0.000], [0.000, 5.768, 0.000], [0.000, -2.884, 6.935]], "species": ["Na", "Na", "Se", "Se", "Se", "Np"], "frac_coords": [[0.500, 0.350, 0.700], [0.500, 0.650, 0.300], [0.500, 0.865, 0.731], [0.500, 0.135, 0.269], [0.000, 0.500, 0.000], [0.000, 0.000, 0.000]], "formation_energy_uncorrected_ev_per_atom": -1.127, "n_ef_per_ev_atom": 1.804}

***

No. 4
{"formula": "CsMn2Br7", "functional": "PBE", "state": "relaxed", "cell": [[5.169, 0.000, 0.000], [0.000, 9.540, -1.563], [0.000, -5.612, 7.872]], "species": ["Br", "Br", "Br", "Br", "Br", "Br", "Br", "Mn", "Mn", "Cs"], "frac_coords": [[0.500, 0.500, 0.500], [0.000, 0.749, 0.251], [0.500, 0.092, 0.390], [0.500, 0.610, 0.908], [0.000, 0.251, 0.749], [0.500, 0.908, 0.610], [0.500, 0.390, 0.092], [0.500, 0.748, 0.252], [0.500, 0.252, 0.748], [0.000, 0.000, 0.000]], "formation_energy_uncorrected_ev_per_atom": -0.774, "n_ef_per_ev_atom": 0.340}

***

No. 5
{"formula": "SrLi2PrHg4", "functional": "PBE", "state": "relaxed", "cell": [[5.126, 0.000, 0.000], [2.563, 4.439, 0.000], [2.563, 1.480, 9.027]], "species": ["Pr", "Hg", "Hg", "Hg", "Hg", "Li", "Li", "Sr"], "frac_coords": [[0.500, 0.500, 0.500], [0.877, 0.877, 0.368], [0.123, 0.123, 0.632], [0.384, 0.384, 0.847], [0.616, 0.616, 0.153], [0.245, 0.245, 0.264], [0.755, 0.755, 0.736], [0.000, 0.000, 0.000]], "ef_ev_per_fu": -3.36, "n_ef_per_ev_atom": 0.589}

***

No. 6
{"formula": "YScAgOs", "functional": "PBE", "state": "relaxed", "cell": [[4.825, 0.000, 0.000], [2.412, 4.178, 0.000], [2.412, 1.393, 3.939]], "species": ["Ag", "Y", "Os", "Sc"], "frac_coords": [[0.000, 0.000, 0.000], [0.750, 0.750, 0.750], [0.500, 0.500, 0.500], [0.250, 0.250, 0.250]], "ef_ev_per_fu": -1.11, "n_ef_per_ev_atom": 0.476}

***

No. 7
{"formula": "TbIn2Cu9", "functional": "PBE", "state": "relaxed", "cell": [[-3.491, -2.410, -2.755], [0.681, -0.606, -4.975], [2.851, -8.071, -1.197]], "species": ["In", "In", "Cu", "Cu", "Cu", "Cu", "Cu", "Cu", "Cu", "Cu", "Cu", "Tb"], "frac_coords": [[0.859, 0.859, 0.422], [0.141, 0.141, 0.578], [0.919, 0.415, 0.251], [0.081, 0.585, 0.749], [0.415, 0.415, 0.251], [0.333, 0.333, 0.000], [0.585, 0.081, 0.749], [0.585, 0.585, 0.749], [0.415, 0.919, 0.251], [0.500, 0.500, 0.500], [0.667, 0.667, 0.000], [0.000, 0.000, 0.000]], "ef_ev_per_fu": -1.64, "n_ef_per_ev_atom": 0.369}

***

No. 8
{"formula": "Ac3Sn3Pb", "functional": "PBE", "state": "relaxed", "cell": [[-4.579, 1.640, -4.472], [-0.897, -9.421, -2.536], [-5.619, 3.714, 7.115]], "species": ["Pb", "Pb", "Sn", "Sn", "Sn", "Sn", "Sn", "Sn", "Ac", "Ac", "Ac", "Ac", "Ac", "Ac"], "frac_coords": [[0.250, 0.667, 0.333], [0.750, 0.333, 0.667], [0.750, 0.669, 0.935], [0.250, 0.331, 0.065], [0.750, 0.266, 0.331], [0.250, 0.935, 0.266], [0.750, 0.065, 0.734], [0.250, 0.734, 0.669], [0.750, 0.920, 0.323], [0.750, 0.403, 0.080], [0.250, 0.323, 0.403], [0.250, 0.080, 0.677], [0.250, 0.597, 0.920], [0.750, 0.677, 0.597]], "ef_ev_per_fu": -2.98, "n_ef_per_ev_atom": 0.700}

***

No. 9
{"formula": "PuGaGe2Ru", "functional": "PBE", "state": "relaxed", "cell": [[-2.793, -4.774, -1.445], [5.009, -2.584, -1.141], [0.294, -1.790, 5.344]], "species": ["Ga", "Ga", "Pu", "Pu", "Ge", "Ge", "Ge", "Ge", "Ru", "Ru"], "frac_coords": [[0.633, 0.750, 0.000], [0.367, 0.250, 0.000], [0.776, 0.750, 0.500], [0.224, 0.250, 0.500], [0.738, 0.250, 0.734], [0.262, 0.750, 0.734], [0.262, 0.750, 0.266], [0.738, 0.250, 0.266], [0.000, 0.500, 0.000], [0.000, 0.000, 0.000]], "ef_ev_per_fu": -1.96, "n_ef_per_ev_atom": 2.217}

***

No. 10
{"formula": "LaDyPt2", "functional": "PBE", "state": "relaxed", "cell": [[-0.012, -3.474, -1.697], [-0.605, -1.981, 4.058], [-5.356, 2.065, 0.209]], "species": ["Dy", "La", "Pt", "Pt"], "frac_coords": [[0.448, 0.500, 0.434], [0.720, 0.000, 0.980], [0.171, 0.500, 0.882], [0.992, 0.000, 0.522]], "ef_ev_per_fu": -4.91, "e_above_lowest_polymorph_kj_per_mol_fu": 0.0, "n_ef_per_ev_atom": 0.639}

***

No. 11
{"formula": "NaSnSb2", "functional": "PBE", "state": "relaxed", "cell": [[8.524, 0.000, 0.000], [0.000, 8.524, 0.000], [4.262, 4.262, 3.228]], "species": ["Na", "Na", "Sn", "Sn", "Sb", "Sb", "Sb", "Sb"], "frac_coords": [[0.250, 0.750, 0.500], [0.500, 0.500, 0.000], [0.750, 0.250, 0.500], [0.000, 0.000, 0.000], [0.875, 0.894, 0.750], [0.106, 0.625, 0.250], [0.375, 0.356, 0.750], [0.644, 0.125, 0.250]], "formation_energy_uncorrected_ev_per_atom": -0.046, "n_ef_per_ev_atom": 0.780}

***

No. 12
{"formula": "Al3V2Ga2", "functional": "PBE", "state": "relaxed", "cell": [[-1.636, -1.227, 3.147], [2.609, -3.571, -2.273], [4.472, 2.740, 3.392]], "species": ["Al", "Al", "Al", "V", "V", "Ga", "Ga"], "frac_coords": [[0.000, 0.000, 0.000], [0.703, 0.407, 0.157], [0.297, 0.593, 0.843], [0.860, 0.721, 0.569], [0.140, 0.279, 0.431], [0.582, 0.164, 0.709], [0.418, 0.836, 0.291]], "ef_ev_per_fu": -0.65, "n_ef_per_ev_atom": 0.791}

***

No. 13
{"formula": "Ba8IrPt2", "functional": "PBE", "state": "relaxed", "cell": [[-5.875, 2.566, 5.299], [4.374, -3.396, 6.494], [6.620, 5.352, -1.780]], "species": ["Ba", "Ba", "Ba", "Ba", "Ba", "Ba", "Ba", "Ba", "Pt", "Pt", "Ir"], "frac_coords": [[0.727, 0.260, 0.928], [0.809, 0.877, 0.618], [0.191, 0.123, 0.382], [0.284, 0.603, 0.568], [0.273, 0.740, 0.072], [0.800, 0.740, 0.072], [0.200, 0.260, 0.928], [0.716, 0.397, 0.432], [0.900, 0.542, 0.801], [0.100, 0.458, 0.199], [0.000, 0.000, 0.000]], "ef_ev_per_fu": -3.67, "e_above_lowest_polymorph_kj_per_mol_fu": 38.5, "n_ef_per_ev_atom": 0.725}

***

No. 14
{"formula": "Tb2YPt2", "functional": "PBE", "state": "relaxed", "cell": [[3.975, 0.000, 0.000], [0.000, 7.778, 0.000], [0.000, 0.000, 7.778]], "species": ["Pt", "Pt", "Pt", "Pt", "Y", "Y", "Tb", "Tb", "Tb", "Tb"], "frac_coords": [[0.000, 0.638, 0.138], [0.000, 0.862, 0.638], [0.000, 0.138, 0.362], [0.000, 0.362, 0.862], [0.000, 0.500, 0.500], [0.000, 0.000, 0.000], [0.500, 0.661, 0.839], [0.500, 0.161, 0.661], [0.500, 0.339, 0.161], [0.500, 0.839, 0.339]], "ef_ev_per_fu": -5.26, "n_ef_per_ev_atom": 0.753}

***

No. 15
{"formula": "TmZr2Sc3", "functional": "PBE", "state": "relaxed", "cell": [[-2.779, -0.810, -1.358], [-3.694, -0.825, 8.053], [-3.076, 10.025, 0.316]], "species": ["Zr", "Zr", "Zr", "Zr", "Sc", "Sc", "Sc", "Sc", "Sc", "Sc", "Tm", "Tm"], "frac_coords": [[0.250, 0.913, 0.621], [0.750, 0.087, 0.379], [0.750, 0.551, 0.130], [0.250, 0.449, 0.870], [0.750, 0.925, 0.120], [0.750, 0.601, 0.614], [0.250, 0.239, 0.139], [0.250, 0.399, 0.386], [0.250, 0.075, 0.880], [0.750, 0.761, 0.861], [0.750, 0.244, 0.645], [0.250, 0.756, 0.355]], "ef_ev_per_fu": 0.57, "e_above_lowest_polymorph_kj_per_mol_fu": 57.7, "n_ef_per_ev_atom": 1.516}

***

No. 16
{"formula": "Ac2Sn3Rh2", "functional": "PBE", "state": "relaxed", "cell": [[4.485, 0.000, 0.000], [-2.243, 5.629, -0.354], [0.000, -3.047, 7.201]], "species": ["Rh", "Rh", "Sn", "Sn", "Sn", "Ac", "Ac"], "frac_coords": [[0.139, 0.278, 0.215], [0.861, 0.722, 0.785], [0.635, 0.270, 0.442], [0.365, 0.730, 0.558], [0.500, 0.000, 0.000], [0.142, 0.284, 0.785], [0.858, 0.716, 0.215]], "ef_ev_per_fu": -4.76, "e_above_lowest_polymorph_kj_per_mol_fu": 0.0, "n_ef_per_ev_atom": 0.655}

***

No. 17
{"formula": "Cu2P", "functional": "PBE", "state": "relaxed", "cell": [[4.241, -0.031, 0.000], [1.713, 3.880, 0.000], [-2.977, -1.925, 2.328]], "species": ["P", "Cu", "Cu"], "frac_coords": [[0.000, 0.000, 0.000], [0.670, 0.670, 0.000], [0.330, 0.330, 0.000]], "ef_ev_per_fu": 0.31, "n_ef_per_ev_atom": 0.433}

***

No. 18
{"formula": "Pm2CuAuO6", "functional": "PBE", "state": "relaxed", "cell": [[-1.354, -2.054, 3.723], [5.231, -1.165, 1.260], [0.392, 4.747, 2.762]], "species": ["O", "O", "O", "O", "O", "O", "Cu", "Au", "Pm", "Pm"], "frac_coords": [[0.707, 0.259, 0.259], [0.707, 0.259, 0.741], [0.158, 0.500, 0.500], [0.707, 0.741, 0.741], [0.140, 0.000, 0.000], [0.707, 0.741, 0.259], [0.621, 0.500, 0.500], [0.634, 0.000, 0.000], [0.032, 0.000, 0.500], [0.032, 0.500, 0.000]], "formation_energy_uncorrected_ev_per_atom": -1.589, "n_ef_per_ev_atom": 0.214}

***

No. 19
{"formula": "LiLa2RuC", "functional": "PBE", "state": "relaxed", "cell": [[-0.243, 1.221, -5.201], [0.357, -5.191, -1.235], [-3.933, -0.298, 0.114]], "species": ["Li", "Ru", "C", "La", "La"], "frac_coords": [[0.500, 0.500, 0.500], [0.000, 0.000, 0.500], [0.000, 0.000, 0.000], [0.000, 0.500, 0.000], [0.500, 0.000, 0.000]], "ef_ev_per_fu": -0.79, "n_ef_per_ev_atom": 0.662}

***

No. 20
{"formula": "CsTaTlBr6", "functional": "PBE", "state": "relaxed", "cell": [[-0.550, -7.684, -2.260], [2.291, 5.586, -5.292], [13.621, -2.068, 3.715]], "species": ["Br", "Br", "Br", "Br", "Br", "Br", "Br", "Br", "Br", "Br", "Br", "Br", "Ta", "Ta", "Cs", "Cs", "Tl", "Tl"], "frac_coords": [[0.593, 0.660, 0.645], [0.407, 0.067, 0.145], [0.660, 0.593, 0.145], [0.933, 0.593, 0.355], [0.407, 0.340, 0.355], [0.660, 0.067, 0.355], [0.067, 0.407, 0.645], [0.593, 0.933, 0.855], [0.340, 0.407, 0.855], [0.340, 0.933, 0.645], [0.067, 0.660, 0.855], [0.933, 0.340, 0.145], [0.667, 0.333, 0.250], [0.333, 0.667, 0.750], [0.000, 0.000, 0.500], [0.000, 0.000, 0.000], [0.667, 0.333, 0.750], [0.333, 0.667, 0.250]], "formation_energy_uncorrected_ev_per_atom": -1.063, "n_ef_per_ev_atom": 0.787}

***

Record order is preserved below.
Uncorrected energy: -5.141, -6.030, -5.466, -3.864, -1.857, -6.997, -4.051, -4.432, -7.565, -6.631, -3.438, -5.166, -3.636, -6.613, -6.665, -5.670, -4.431, -6.252, -6.212, -3.853 eV/atom